VASP calculation (PBE) on a relaxed CdSi2Tc crystal.

a = 3.0773 Å, b = 3.0509 Å, c = 7.3673 Å
α = 90.00°, β = 101.42°, γ = 90.00°
Last column: nearest neighbours and their distance in Å.
Space group P2/m (No. 10)
One atom of each set of equivalent atoms:
Cd: 0.0000 0.0000 0.0000 [1 per cell]  4 Si 2.84, 4 Cd 3.05-3.08
Si: 0.0904 0.5000 0.6837 [2 per cell]  4 Tc 2.53-2.55, 1 Si 2.65
Tc: 0.5000 0.0000 0.5000 [1 per cell]  8 Si 2.53-2.55

**Calculated volume**: 16.9 A^3/atom
**Magnetization**: 0.0 μB/f.u.
**Formation energy (no corrections)**: -0.0137 eV per atom

=====

VASP calculation (PBE) on a relaxed NaTbTl4 crystal.

a = 3.7066 Å, b = 5.1379 Å, c = 9.0214 Å
α = 90.00°, β = 90.07°, γ = 90.00°
Last column: nearest neighbours and their distance in Å.
Space group Pm (No. 6)
One atom of each set of equivalent atoms:
Na: 0.0000 0.0000 0.0000 [1 per cell]  8 Tl 3.27-3.44
Tb: 0.0664 0.5000 0.4447 [1 per cell]  8 Tl 3.23-3.42
Tl: 0.2754 0.0000 0.6562 [1 per cell]  3 Tl 3.18-3.21, 1 Na 3.27, 2 Tb 3.29
Tl: 0.4605 0.5000 0.1236 [1 per cell]  3 Tl 3.15-3.23, 1 Tb 3.25, 4 Na 3.28-3.44
Tl: 0.6118 0.0000 0.3322 [1 per cell]  3 Tl 3.18-3.23, 4 Tb 3.23-3.42, 1 Na 3.33
Tl: 0.6837 0.5000 0.7870 [1 per cell]  3 Tl 3.15-3.21, 1 Tb 3.40, 2 Na 3.41

**Calculated volume**: 28.6 A^3/atom
**ΔH_f (0 K)**: -0.1373 eV/atom
**Magnetization**: 0.0 μB/f.u.

=====

VASP calculation (PBE) on a relaxed Pm2DyTmSb5 crystal.

a = 5.2326 Å, b = 5.2326 Å, c = 11.6518 Å
α = 90.00°, β = 90.00°, γ = 90.00°
Last column: nearest neighbours and their distance in Å.
Space group P4/mmm (No. 123)
One atom of each set of equivalent atoms:
Pm: 0.0000 0.0000 0.2255 [2 per cell]  1 Sb 3.20
Dy: 0.5000 0.5000 0.5000 [1 per cell]  2 Sb 2.88
Tm: 0.5000 0.5000 0.0000 [1 per cell]  4 Sb 2.62
Sb: 0.0000 0.0000 0.5000 [1 per cell]  2 Pm 3.20
Sb: 0.0000 0.5000 0.0000 [2 per cell]  2 Tm 2.62
Sb: 0.5000 0.5000 0.2530 [2 per cell]  1 Dy 2.88, 1 Tm 2.95

**Calculated volume**: 35.4 A^3/atom
**Magnetization**: 0.0 μB/f.u.
**Formation energy (no corrections)**: -0.2888 eV per atom

=====

VASP calculation (PBE) on a relaxed HfMnOs2Br crystal.

a = 4.4821 Å, b = 4.4821 Å, c = 4.6379 Å
α = 90.00°, β = 90.00°, γ = 90.00°
Last column: nearest neighbours and their distance in Å.
Space group P4/mmm (No. 123)
One atom of each set of equivalent atoms:
Hf: 0.0000 0.0000 0.0000 [1 per cell]  4 Br 3.17, 8 Os 3.22
Mn: 0.5000 0.5000 0.5000 [1 per cell]  4 Os 2.24, 2 Br 2.32
Os: 0.0000 0.5000 0.5000 [2 per cell]  2 Mn 2.24
Br: 0.5000 0.5000 0.0000 [1 per cell]  2 Mn 2.32

**Calculated volume**: 18.6 A^3/atom
**Magnetization**: 0.0 μB/f.u.
**Formation energy (no corrections)**: 1.2219 eV per atom

=====

Number 3 is which compound? Pm2DyTmSb5